RbCoAgO2 after structural relaxation, computed with PBE with a Hubbard U.

Calculated values
E_tot   -3.872 eV per atom

The structure in CIF format:
```
data_RbCoAgO2
_space_group_name_H-M_alt 'P 4/m m m'
_space_group_IT_number 123
_space_group_name_Hall '-P 4 2'
_cell_length_a 4.042
_cell_length_b 4.042
_cell_length_c 4.904
_cell_angle_alpha 90.00
_cell_angle_beta 90.00
_cell_angle_gamma 90.00
loop_
_atom_site_label
_atom_site_type_symbol
_atom_site_fract_x
_atom_site_fract_y
_atom_site_fract_z
Rb1 Rb 0.000 0.000 0.000
Co1 Co 0.500 0.500 0.500
Ag1 Ag 0.500 0.500 0.000
O1 O 0.000 0.500 0.500
```